The following is a PBE calculation of a relaxed structure of PuBIr2, from Alexandria via LeMat-Bulk.

Summary:
The formation energy is 75 kJ/mol of formula units. The calculation puts the energy above the most stable polymorph in this dataset at 450 meV/atom.

Lattice parameters (Å, degrees): 4.205 4.205 4.798 90.00 90.00 120.00
Site moments in Bohr magnetons follow the coordinates.
Atoms (fractional coordinates):
Ir1 0.667 0.333 0.000  -0.33
Ir2 0.333 0.667 0.000  -0.33
B1 0.000 0.000 0.000  0.07
Pu1 0.000 0.000 0.500  5.21

***

The following is a PBE calculation of a relaxed structure of PuB3Ir6, from Alexandria via LeMat-Bulk.

Summary:
The formation energy is -231 kJ/mol of formula units.

Lattice parameters (Å, degrees): 5.466 5.466 6.164 90.00 116.32 120.00
Site moments in Bohr magnetons follow the coordinates.
Atoms (fractional coordinates):
Ir1 0.293 0.399 0.683  -0.12
Ir2 0.159 0.643 0.242  -0.07
Ir3 0.599 0.517 0.242  -0.07
Ir4 0.789 0.390 0.683  -0.12
Ir5 0.726 0.083 0.242  -0.07
Ir6 0.284 0.893 0.683  -0.12
B1 0.648 0.324 0.972  0.00
B2 0.256 0.128 0.383  0.02
B3 0.316 0.658 0.974  0.00
Pu1 0.930 0.965 0.895  4.62

***

The following is a PBE calculation of a relaxed structure of PuBIr2, from Alexandria via LeMat-Bulk.

Summary:
The formation energy is -52 kJ/mol of formula units. The calculation puts the energy above the most stable polymorph in this dataset at 121 meV/atom.

Lattice parameters (Å, degrees): 3.791 3.791 5.663 70.44 70.44 60.00
Site moments in Bohr magnetons follow the coordinates.
Atoms (fractional coordinates):
Ir1 0.214 0.214 0.357  -0.27
Ir2 0.786 0.786 0.643  -0.27
Pu1 0.000 0.000 0.000  4.78
B1 0.500 0.500 0.500  0.02

***

The following is a PBE calculation of a relaxed structure of Pu2B2IrRh5, from Alexandria via LeMat-Bulk.

Summary:
The formation energy is -363 kJ/mol of formula units.

Lattice parameters (Å, degrees): 2.919 10.045 10.045 90.00 90.00 90.00
Site moments in Bohr magnetons follow the coordinates.
Atoms (fractional coordinates):
B1 0.000 0.381 0.119  -0.01
B2 0.000 0.119 0.619  -0.01
B3 0.000 0.619 0.881  -0.01
B4 0.000 0.881 0.381  -0.01
Pu1 0.000 0.182 0.318  5.14
Pu2 0.000 0.818 0.682  5.14
Pu3 0.000 0.318 0.818  5.14
Pu4 0.000 0.682 0.182  5.14
Rh1 0.500 0.771 0.935  -0.04
Rh2 0.500 0.271 0.565  -0.04
Rh3 0.500 0.435 0.271  -0.04
Rh4 0.500 0.565 0.729  -0.04
Rh5 0.500 0.229 0.065  -0.04
Rh6 0.500 0.000 0.500  0.02
Rh7 0.500 0.729 0.435  -0.04
Rh8 0.500 0.500 0.000  0.02
Rh9 0.500 0.935 0.229  -0.04
Rh10 0.500 0.065 0.771  -0.04
Ir1 0.000 0.000 0.000  -0.07
Ir2 0.000 0.500 0.500  -0.07

***

The following is a PBE calculation of a relaxed structure of Pu3BIr3Rh2, from Alexandria via LeMat-Bulk.

Summary:
The formation energy is -372 kJ/mol of formula units.

Lattice parameters (Å, degrees): 3.425 7.227 7.227 120.00 90.00 90.00
Site moments in Bohr magnetons follow the coordinates.
Atoms (fractional coordinates):
Pu1 0.000 0.397 0.000  4.78
Pu2 0.000 0.000 0.397  4.78
Pu3 0.000 0.603 0.603  4.78
Rh1 0.500 0.333 0.667  -0.33
Rh2 0.500 0.667 0.333  -0.33
Ir1 0.500 0.218 0.218  -0.18
Ir2 0.500 0.782 0.000  -0.18
Ir3 0.500 0.000 0.782  -0.18
B1 0.000 0.000 0.000  0.01

***

The following is a PBE calculation of a relaxed structure of Pu2B2Ir5Rh, from Alexandria via LeMat-Bulk.

Summary:
The formation energy is -335 kJ/mol of formula units.

Lattice parameters (Å, degrees): 3.520 9.179 9.179 90.00 90.00 90.00
Site moments in Bohr magnetons follow the coordinates.
Atoms (fractional coordinates):
B1 0.000 0.620 0.880  -0.02
B2 0.000 0.880 0.380  -0.02
B3 0.000 0.120 0.620  -0.02
B4 0.000 0.380 0.120  -0.02
Pu1 0.000 0.179 0.321  4.54
Pu2 0.000 0.821 0.679  4.54
Pu3 0.000 0.321 0.821  4.54
Pu4 0.000 0.679 0.179  4.54
Ir1 0.500 0.500 0.000  -0.21
Ir2 0.500 0.072 0.783  -0.25
Ir3 0.500 0.717 0.428  -0.25
Ir4 0.500 0.572 0.717  -0.25
Ir5 0.500 0.428 0.283  -0.25
Ir6 0.500 0.000 0.500  -0.21
Ir7 0.500 0.783 0.928  -0.25
Ir8 0.500 0.217 0.072  -0.25
Ir9 0.500 0.928 0.217  -0.25
Ir10 0.500 0.283 0.572  -0.25
Rh1 0.000 0.500 0.500  -0.44
Rh2 0.000 0.000 0.000  -0.44

***

The following is a PBE calculation of a relaxed structure of RbB3Ir, from Alexandria via LeMat-Bulk.

Summary:
The formation energy is 351 kJ/mol of formula units. The calculation puts the energy above the most stable polymorph in this dataset at 0 meV/atom.

Lattice parameters (Å, degrees): 4.222 4.222 4.222 90.00 90.00 90.00
Atoms (fractional coordinates):
Rb1 0.500 0.500 0.500
B1 0.000 0.500 0.000
B2 0.500 0.000 0.000
B3 0.000 0.000 0.500
Ir1 0.000 0.000 0.000

***

The following is a PBE calculation of a relaxed structure of RbB3Ir, from Alexandria via LeMat-Bulk.

Summary:
The formation energy is 1863 kJ/mol of formula units. The calculation puts the energy above the most stable polymorph in this dataset at 3134 meV/atom.

Lattice parameters (Å, degrees): 4.218 4.218 4.218 90.00 90.00 90.00
Atoms (fractional coordinates):
Rb1 0.000 0.000 0.000
B1 0.000 0.000 0.500
B2 0.500 0.000 0.000
B3 0.000 0.500 0.000
Ir1 0.500 0.500 0.500

***

The following is a PBE calculation of a relaxed structure of RbBIr, from Alexandria via LeMat-Bulk.

Summary:
The formation energy is -49 kJ/mol of formula units.

Lattice parameters (Å, degrees): 3.995 3.995 10.742 90.00 90.00 90.00
Atoms (fractional coordinates):
B1 0.500 0.000 0.564
B2 0.000 0.500 0.436
Ir1 0.000 0.000 0.500
Ir2 0.500 0.500 0.500
Rb1 0.500 0.000 0.222
Rb2 0.000 0.500 0.778

***

The following is a PBE calculation of a relaxed structure of RbB2Ir, from Alexandria via LeMat-Bulk.

Summary:
The formation energy is 795 kJ/mol of formula units. The calculation puts the energy above the most stable polymorph in this dataset at 1927 meV/atom.

Lattice parameters (Å, degrees): 4.407 4.407 4.407 60.00 60.00 60.00
Atoms (fractional coordinates):
B1 0.750 0.750 0.750
B2 0.250 0.250 0.250
Ir1 0.500 0.500 0.500
Rb1 0.000 0.000 0.000

***

The following is a PBE calculation of a relaxed structure of Rb4BIr2, from Alexandria via LeMat-Bulk.

Summary:
The formation energy is 910 kJ/mol of formula units.

Lattice parameters (Å, degrees): 6.551 6.551 9.080 68.85 68.85 90.00
Site moments in Bohr magnetons follow the coordinates.
Atoms (fractional coordinates):
B1 0.000 0.000 0.000  0.64
Rb1 0.801 0.801 0.397  0.04
Rb2 0.000 0.500 0.000  0.02
Rb3 0.500 0.000 0.000  0.02
Rb4 0.199 0.199 0.603  0.04
Ir1 0.425 0.425 0.150  1.33
Ir2 0.575 0.575 0.850  1.33

***

The following is a PBE calculation of a relaxed structure of RbB2Ir, from Alexandria via LeMat-Bulk.

Summary:
The formation energy is 51 kJ/mol of formula units. The calculation puts the energy above the most stable polymorph in this dataset at 0 meV/atom.

Lattice parameters (Å, degrees): 6.398 6.398 6.417 60.10 60.10 90.00
Atoms (fractional coordinates):
B1 0.875 0.625 0.250
B2 0.875 0.125 0.750
B3 0.875 0.125 0.250
B4 0.375 0.125 0.750
Rb1 0.500 0.500 0.000
Rb2 0.250 0.750 0.500
Ir1 0.750 0.250 0.500
Ir2 0.000 0.000 0.000

***

The following is a PBE calculation of a relaxed structure of RbBIr3, from Alexandria via LeMat-Bulk.

Summary:
The formation energy is 2001 kJ/mol of formula units. The calculation puts the energy above the most stable polymorph in this dataset at 3375 meV/atom.

Lattice parameters (Å, degrees): 4.925 4.925 4.925 90.00 90.00 90.00
Site moments in Bohr magnetons follow the coordinates.
Atoms (fractional coordinates):
B1 0.500 0.500 0.500  -0.05
Ir1 0.000 0.000 0.500  0.77
Ir2 0.500 0.000 0.000  0.87
Ir3 0.000 0.500 0.000  1.05
Rb1 0.000 0.000 0.000  0.00

***

The following is a PBE calculation of a relaxed structure of RbBIr3, from Alexandria via LeMat-Bulk.

Summary:
The formation energy is 372 kJ/mol of formula units. The calculation puts the energy above the most stable polymorph in this dataset at 0 meV/atom.

Lattice parameters (Å, degrees): 4.326 4.326 4.326 90.00 90.00 90.00
Atoms (fractional coordinates):
Ir1 0.000 0.500 0.000
Ir2 0.000 0.000 0.500
Ir3 0.500 0.000 0.000
Rb1 0.500 0.500 0.500
B1 0.000 0.000 0.000

***

The following is a PBE calculation of a relaxed structure of RbB2IrRu, from Alexandria via LeMat-Bulk.

Summary:
The formation energy is 818 kJ/mol of formula units.

Lattice parameters (Å, degrees): 4.100 6.156 4.100 90.00 90.00 90.00
Site moments in Bohr magnetons follow the coordinates.
Atoms (fractional coordinates):
Ir1 0.000 0.000 0.000  0.03
B1 0.000 0.000 0.500  -0.01
B2 0.500 0.000 0.000  0.00
Rb1 0.000 0.500 0.000  0.00
Ru1 0.500 0.500 0.500  1.90

***

The following is a PBE calculation of a relaxed structure of RbSrBIr2, from Alexandria via LeMat-Bulk.

Summary:
The formation energy is 1085 kJ/mol of formula units.

Lattice parameters (Å, degrees): 5.315 5.364 5.315 90.00 90.00 90.00
Atoms (fractional coordinates):
Rb1 0.500 0.500 0.500
B1 0.000 0.500 0.000
Sr1 0.000 0.000 0.000
Ir1 0.000 0.000 0.500
Ir2 0.500 0.000 0.000

***

The following is a PBE calculation of a relaxed structure of ReB2Ir, from Alexandria via LeMat-Bulk.

Summary:
The formation energy is 103 kJ/mol of formula units. The calculation puts the energy above the most stable polymorph in this dataset at 0 meV/atom.

Lattice parameters (Å, degrees): 3.884 3.884 3.884 60.00 60.00 60.00
Atoms (fractional coordinates):
Re1 0.000 0.000 0.000
Ir1 0.500 0.500 0.500
B1 0.750 0.750 0.750
B2 0.250 0.250 0.250

***

The following is a PBE calculation of a relaxed structure of Re3BIr, from Alexandria via LeMat-Bulk.

Summary:
The formation energy is 1502 kJ/mol of formula units. The calculation puts the energy above the most stable polymorph in this dataset at 2916 meV/atom.

Lattice parameters (Å, degrees): 4.726 4.726 4.726 90.00 90.00 90.00
Site moments in Bohr magnetons follow the coordinates.
Atoms (fractional coordinates):
Re1 0.500 0.000 0.000  0.72
Re2 0.000 0.500 0.000  0.70
Re3 0.000 0.000 0.500  0.88
Ir1 0.000 0.000 0.000  -0.06
B1 0.500 0.500 0.500  -0.03

***

The following is a PBE calculation of a relaxed structure of ReBIr2, from Alexandria via LeMat-Bulk.

Summary:
The formation energy is 203 kJ/mol of formula units.

Lattice parameters (Å, degrees): 5.123 5.123 6.333 66.14 66.14 90.00
Atoms (fractional coordinates):
Ir1 0.185 0.625 0.250
Ir2 0.875 0.815 0.750
Ir3 0.565 0.125 0.250
Ir4 0.375 0.435 0.750
Re1 0.000 0.000 0.000
Re2 0.750 0.250 0.500
B1 0.250 0.750 0.500
B2 0.500 0.500 0.000

***

The following is a PBE calculation of a relaxed structure of ReB2Ir, from Alexandria via LeMat-Bulk.

Summary:
The formation energy is 171 kJ/mol of formula units. The calculation puts the energy above the most stable polymorph in this dataset at 177 meV/atom.

Lattice parameters (Å, degrees): 5.615 5.615 4.945 55.40 55.40 90.00
Atoms (fractional coordinates):
Ir1 0.750 0.250 0.500
Ir2 0.000 0.000 0.000
B1 0.633 0.125 0.250
B2 0.875 0.883 0.750
B3 0.117 0.625 0.250
B4 0.375 0.367 0.750
Re1 0.500 0.500 0.000
Re2 0.250 0.750 0.500

***

The following is a PBE calculation of a relaxed structure of ReB2Ir2, from Alexandria via LeMat-Bulk.

Summary:
The formation energy is 56 kJ/mol of formula units.

Lattice parameters (Å, degrees): 6.474 6.474 2.698 90.00 90.00 90.00
Atoms (fractional coordinates):
B1 0.845 0.655 0.000
B2 0.345 0.845 0.000
B3 0.155 0.345 0.000
B4 0.655 0.155 0.000
Ir1 0.152 0.652 0.500
Ir2 0.348 0.152 0.500
Ir3 0.652 0.848 0.500
Ir4 0.848 0.348 0.500
Re1 0.500 0.500 0.000
Re2 0.000 0.000 0.000

***

The following is a PBE calculation of a relaxed structure of ReBIr2, from Alexandria via LeMat-Bulk.

Summary:
The formation energy is 132 kJ/mol of formula units.

Lattice parameters (Å, degrees): 2.745 2.745 8.475 80.68 80.68 60.00
Atoms (fractional coordinates):
B1 0.500 0.500 0.500
Ir1 0.106 0.106 0.681
Ir2 0.894 0.894 0.319
Re1 0.000 0.000 0.000

***

The following is a PBE calculation of a relaxed structure of Re3BIr, from Alexandria via LeMat-Bulk.

Summary:
The formation energy is 95 kJ/mol of formula units. The calculation puts the energy above the most stable polymorph in this dataset at 0 meV/atom.

Lattice parameters (Å, degrees): 4.090 4.090 4.090 90.00 90.00 90.00
Atoms (fractional coordinates):
Re1 0.500 0.000 0.000
Re2 0.000 0.000 0.500
Re3 0.000 0.500 0.000
B1 0.000 0.000 0.000
Ir1 0.500 0.500 0.500

***

The following is a PBE calculation of a relaxed structure of ScReBIr2, from Alexandria via LeMat-Bulk.

Summary:
The formation energy is -5 kJ/mol of formula units.

Lattice parameters (Å, degrees): 4.035 4.458 4.035 90.00 90.00 90.00
Site moments in Bohr magnetons follow the coordinates.
Atoms (fractional coordinates):
Ir1 0.000 0.000 0.500  0.01
Ir2 0.500 0.000 0.000  0.02
B1 0.000 0.000 0.000  0.00
Re1 0.500 0.500 0.500  0.43
Sc1 0.000 0.500 0.000  -0.02

***

The following is a PBE calculation of a relaxed structure of ReB2TeIr, from Alexandria via LeMat-Bulk.

Summary:
The formation energy without anion corrections comes out at 2.71 eV per atom.

Lattice parameters (Å, degrees): 4.194 5.172 4.194 90.00 90.00 90.00
Site moments in Bohr magnetons follow the coordinates.
Atoms (fractional coordinates):
Ir1 0.500 0.500 0.500  0.54
B1 0.000 0.000 0.500  0.00
B2 0.500 0.000 0.000  -0.02
Te1 0.000 0.000 0.000  -0.01
Re1 0.000 0.500 0.000  1.38

***

The following is a PBE calculation of a relaxed structure of ReBIr2W, from Alexandria via LeMat-Bulk.

Summary:
The formation energy is 1339 kJ/mol of formula units.

Lattice parameters (Å, degrees): 4.773 4.743 4.773 90.00 90.00 90.00
Site moments in Bohr magnetons follow the coordinates.
Atoms (fractional coordinates):
W1 0.000 0.000 0.000  -0.16
B1 0.500 0.500 0.500  0.00
Ir1 0.500 0.000 0.000  0.15
Ir2 0.000 0.000 0.500  0.17
Re1 0.000 0.500 0.000  1.13

***

no.,raw total energy (eV per atom)
1,-9.489
2,-8.992
3,-9.819
4,-9.140
5,-10.535
6,-9.715
7,-5.245
8,-2.111
9,-5.671
10,-3.737
11,-2.692
12,-5.664
13,-2.699
14,-6.074
15,-4.797
16,-3.160
17,-8.400
18,-7.463
19,-8.687
20,-8.223
21,-8.588
22,-8.871
23,-10.379
24,-8.646
25,-4.851
26,-7.185